# 1
Below is crystalline Rb4Pr3HfO8 at its relaxed geometry, with properties calculated at the PBE level.

The space group is R-3m (No. 166, hexagonal axes) and the conventional cell measures 7.2071, 7.2071 and 19.8357 Å, with angles of 90.00, 90.00 and 120.00 degrees. The inequivalent atoms are Rb at (0.0000, 0.0000, 0.0000), Rb at (0.0000, 0.5000, 0.0000), Pr at (0.0000, 0.5000, 0.5000), Hf at (0.0000, 0.0000, 0.5000), O at (0.0000, 0.0000, 0.2288) and O at (0.0386, 0.5193, 0.2241).

As for the crystal system: trigonal. For the uncorrected formation energy, the calculation gives -2.4795 eV/atom.

# 2
Below is crystalline CePmTlGa at its relaxed geometry, with properties calculated at the PBE level.

The space group is P4mm (No. 99) and the conventional cell measures 3.472, 3.472 and 8.738 Å, with angles of 90.00, 90.00 and 90.00 degrees. The inequivalent atoms are Ce at (0.000, 0.000, 0.000), Pm at (0.000, 0.000, 0.457), Tl at (0.500, 0.500, 0.730) and Ga at (0.500, 0.500, 0.229).

As for the crystal system: tetragonal. The calculation puts the energy of formation from the pure elements at -411 meV/atom. The energy above the most stable polymorph in this dataset comes out at 0 meV/atom.

# 3
Below is crystalline LiHgMo3 at its relaxed geometry, with properties calculated at the PBE level.

The space group is Pm-3m (No. 221) and the conventional cell measures 4.996, 4.996 and 4.996 Å, with angles of 90.00, 90.00 and 90.00 degrees. The inequivalent atoms are Li at (0.000, 0.000, 0.000), Hg at (0.500, 0.500, 0.500) and Mo at (0.000, 0.500, 0.500).

As for the crystal system: cubic. The calculation puts the energy of formation from the pure elements at 2543 meV/atom. The energy above the most stable polymorph in this dataset comes out at 1281 meV/atom.

# 4
Below is crystalline MgFePbW2 at its relaxed geometry, with properties calculated at the PBE level.

The space group is P4/mmm (No. 123) and the conventional cell measures 4.755, 4.755 and 4.351 Å, with angles of 90.00, 90.00 and 90.00 degrees. The inequivalent atoms are Mg at (0.000, 0.000, 0.000), Fe at (0.000, 0.000, 0.500), Pb at (0.500, 0.500, 0.500) and W at (0.000, 0.500, 0.000).

As for the crystal system: tetragonal. The calculation puts the energy of formation from the pure elements at 2136 meV/atom.

# 5
Below is crystalline Ga2Sb2Pd at its relaxed geometry, with properties calculated at the PBE level.

The space group is P4/mbm (No. 127) and the conventional cell measures 7.027, 7.027 and 4.857 Å, with angles of 90.00, 90.00 and 90.00 degrees. The inequivalent atoms are Ga at (0.160, 0.340, 0.000), Sb at (0.151, 0.651, 0.500) and Pd at (0.000, 0.000, 0.500).

As for the crystal system: tetragonal. For the uncorrected formation energy, the calculation gives -0.0174 eV/atom.

# 6
Below is crystalline LiNiC3 at its relaxed geometry, with properties calculated at the PBE level.

The space group is Pm-3m (No. 221) and the conventional cell measures 3.559, 3.559 and 3.559 Å, with angles of 90.00, 90.00 and 90.00 degrees. The inequivalent atoms are Li at (0.000, 0.000, 0.000), Ni at (0.500, 0.500, 0.500) and C at (0.000, 0.000, 0.500).

As for the crystal system: cubic. The calculation puts the energy of formation from the pure elements at 2873 meV/atom. The energy above the most stable polymorph in this dataset comes out at 767 meV/atom.

Number 1: DOS(E_F) 0.240 states/eV/atom, VASP energy -322.50 eV per cell. Number 2: DOS(E_F) 1.670 states/eV/atom, VASP energy -17.72 eV per cell. Number 3: DOS(E_F) 1.061 states/eV/atom, VASP energy -21.99 eV per cell. Number 4: DOS(E_F) 1.408 states/eV/atom, VASP energy -28.99 eV per cell. Number 5: DOS(E_F) 0.470 states/eV/atom, VASP energy -39.16 eV per cell. Number 6: DOS(E_F) 0.770 states/eV/atom, VASP energy -21.00 eV per cell.